[1]
ErZrPa2 | Alexandria via LeMat-Bulk | PBE | optimized geometry; energy of formation from the pure elements = 407 meV/atom; total DFT energy (no corrections) = -7.62 eV per atom; total magnetization = 0.005 Bohr magnetons per cell; ΔE to the lowest computed polymorph = 277 meV per atom
1.0
0.0000 3.7295 3.7295
3.7295 0.0000 3.7295
3.7295 3.7295 0.0000
Er Zr Pa
1 1 2
Direct
0.0000 0.0000 0.0000
0.5000 0.5000 0.5000
0.2500 0.2500 0.2500
0.7500 0.7500 0.7500

=====

[2]
ErZrPa2 | Alexandria via LeMat-Bulk | PBE | optimized geometry; energy of formation from the pure elements = 180 meV/atom; total DFT energy (no corrections) = -7.85 eV per atom; total magnetization = 0.000 Bohr magnetons per cell; ΔE to the lowest computed polymorph = 49 meV per atom
1.0
3.1660 0.0000 0.0000
0.0000 3.1660 0.0000
0.0000 0.0000 10.2228
Er Zr Pa
1 1 2
Direct
0.0000 0.0000 0.0000
0.0000 0.0000 0.5000
0.5000 0.5000 0.2598
0.5000 0.5000 0.7402

=====

[3]
Er2Pb3 | Alexandria via LeMat-Bulk | PBE | optimized geometry; energy of formation from the pure elements = -347 meV/atom; total DFT energy (no corrections) = -4.40 eV per atom; total magnetization = 0.000 Bohr magnetons per cell; ΔE to the lowest computed polymorph = 0 meV per atom
1.0
0.0000 7.9192 3.2028
5.5680 0.0000 3.2028
5.5680 7.9192 0.0000
Er Pb
4 6
Direct
0.2705 0.7295 0.3336
0.5836 0.9164 0.5205
0.7295 0.2705 0.6664
0.9164 0.5836 0.9795
0.1213 0.8036 0.0814
0.1686 0.2564 0.1287
0.2564 0.1686 0.4464
0.4491 0.4491 0.5509
0.6991 0.6991 0.8009
0.8036 0.1213 0.9936

=====

[4]
Er5Pb4 | Alexandria via LeMat-Bulk | PBE | optimized geometry; energy of formation from the pure elements = -410 meV/atom; total DFT energy (no corrections) = -4.59 eV per atom; total magnetization = 0.000 Bohr magnetons per cell; ΔE to the lowest computed polymorph = 96 meV per atom
1.0
5.7890 -2.3096 0.0000
5.7890 2.3096 0.0000
-4.5979 0.0000 9.7332
Er Pb
5 4
Direct
0.0000 0.0000 0.0000
0.0839 0.0839 0.3906
0.2427 0.2427 0.8404
0.7573 0.7573 0.1596
0.9161 0.9161 0.6094
0.3475 0.3475 0.3860
0.4589 0.4589 0.1606
0.5411 0.5411 0.8394
0.6525 0.6525 0.6140

=====

[5]
ErPb7 | Alexandria via LeMat-Bulk | PBE | optimized geometry; energy of formation from the pure elements = -86 meV/atom; total DFT energy (no corrections) = -3.90 eV per atom; total magnetization = 0.000 Bohr magnetons per cell
1.0
0.0000 4.9512 4.9512
4.9512 0.0000 4.9512
4.9512 4.9512 0.0000
Er Pb
1 7
Direct
0.0000 0.0000 0.0000
0.0000 0.0000 0.5000
0.0000 0.5000 0.0000
0.0000 0.5000 0.5000
0.5000 0.0000 0.0000
0.5000 0.0000 0.5000
0.5000 0.5000 0.0000
0.5000 0.5000 0.5000

=====

[6]
Er5Pb4 | Alexandria via LeMat-Bulk | PBE | optimized geometry; energy of formation from the pure elements = -506 meV/atom; total DFT energy (no corrections) = -4.69 eV per atom; total magnetization = 0.000 Bohr magnetons per cell; ΔE to the lowest computed polymorph = 0 meV per atom
1.0
8.1593 0.0000 0.0000
0.0000 15.5102 0.0000
0.0000 0.0000 8.2109
Er Pb
20 16
Direct
0.0404 0.1000 0.1752
0.0404 0.4000 0.1752
0.1209 0.6208 0.3438
0.1209 0.8792 0.3438
0.2123 0.2500 0.5043
0.2877 0.7500 0.0043
0.3791 0.1208 0.8438
0.3791 0.3792 0.8438
0.4596 0.6000 0.6752
0.4596 0.9000 0.6752
0.5404 0.1000 0.3248
0.5404 0.4000 0.3248
0.6209 0.6208 0.1562
0.6209 0.8792 0.1562
0.7123 0.2500 0.9957
0.7877 0.7500 0.4957
0.8791 0.1208 0.6562
0.8791 0.3792 0.6562
0.9596 0.6000 0.8248
0.9596 0.9000 0.8248
0.0735 0.2500 0.8749
0.1478 0.7500 0.6537
0.2205 0.0432 0.5329
0.2205 0.4568 0.5329
0.2795 0.5432 0.0329
0.2795 0.9568 0.0329
0.3522 0.2500 0.1537
0.4265 0.7500 0.3749
0.5735 0.2500 0.6251
0.6478 0.7500 0.8463
0.7205 0.0432 0.9671
0.7205 0.4568 0.9671
0.7795 0.5432 0.4671
0.7795 0.9568 0.4671
0.8522 0.2500 0.3463
0.9265 0.7500 0.1251